Ce6PC2Br3 | GGA-PBE | optimized geometry

a = 3.8301 Å, b = 8.6765 Å, c = 9.4419 Å
α = 111.23°, β = 101.70°, γ = 90.00°
Atoms (fractional coordinates):
Br1 0.8381 0.1661 0.6762
Ce1 0.9767 0.7556 0.9533
Ce2 0.3179 0.4512 0.6358
Br2 0.1619 0.8339 0.3238
P1 0.5000 0.0000 0.0000
Ce3 0.6645 0.1375 0.3289
Ce4 0.0233 0.2444 0.0467
Br3 0.5000 0.5000 0.0000
Ce5 0.6821 0.5488 0.3642
Ce6 0.3355 0.8625 0.6711
C1 0.1707 0.3381 0.3415
C2 0.8293 0.6619 0.6585

Values from the calculation:
Total DFT energy (no corrections), eV per atom: -6.3819
Energy relative to the elements, uncorrected, eV per atom: -1.01
Space group: C2/m